The following is a DFT calculation (PBE+U) of crystalline Ac2FeHgO5 at its relaxed geometry.

Calculated values
Calculated density in kg/m3: 8655
Energy in eV per cell: -115.8
Space group: P4/mbm
M_tot in μB per cell: 6.0

a = 5.6265 Å, b = 7.3423 Å, c = 7.3423 Å
α = 90.00°, β = 90.00°, γ = 90.00°
With the nearest neighbours (Å) after each atom.
Element x y z (fractional)
Ac1 0.5000 0.3183 0.8183  8 O 2.50-2.70
Ac2 0.5000 0.1817 0.3183  8 O 2.50-2.70
Ac3 0.5000 0.8183 0.6817  8 O 2.50-2.70
Ac4 0.5000 0.6817 0.1817  8 O 2.50-2.70
O1 0.2422 0.6226 0.8774  1 Fe 1.86
O2 0.7578 0.8774 0.3774  1 Fe 1.86
O3 0.7578 0.3774 0.1226  1 Fe 1.86
O4 0.5000 0.5000 0.5000  4 Ac 2.69, 2 Hg 2.81
O5 0.7578 0.1226 0.6226  1 Fe 1.86
O6 0.5000 0.0000 0.0000  4 Ac 2.69, 2 Hg 2.81
O7 0.2422 0.3774 0.1226  1 Fe 1.86
O8 0.7578 0.6226 0.8774  1 Fe 1.86
O9 0.2422 0.8774 0.3774  1 Fe 1.86
O10 0.2422 0.1226 0.6226  1 Fe 1.86
Hg1 0.0000 0.5000 0.5000  2 O 2.81
Hg2 0.0000 0.0000 0.0000  2 O 2.81
Fe1 0.0000 0.0000 0.5000  4 O 1.86
Fe2 0.0000 0.5000 0.0000  4 O 1.86